Computed, not measured: an optimized crystal structure of Ca2TaHgPb at the PBEsol level of DFT.

Properties
Space-group type ... P4/mmm (123)
Formation energy from the elements ... 817.3 meV per atom
Magnetic moment ... 2.93 μB/cell
Volume ... 35.90 Å³ per atom
Electronic total energy ... -17.30 eV per cell

Unit cell a=5.825 b=5.825 c=5.290 alpha=90.00 beta=90.00 gamma=90.00
Atoms (fractional coordinates):
Ca 0.000 0.500 0.000
Ca 0.500 0.000 0.000
Ta 0.000 0.000 0.500
Hg 0.500 0.500 0.500
Pb 0.000 0.000 0.000